(1)
NbNO2 SCAN PBEsol geometry; energy relative to the elements, uncorrected = -0.6080 eV/atom; SG = I4_1/amd (141); E_tot = -1.053 Ry/atom
1.0
5.9771 0.0000 0.0000
-2.9886 5.4998 -0.0145
0.0000 3.2612 5.0091
Nb O N
2 4 2
direct
0.0000 0.0000 0.0000
0.7500 0.5000 0.7500
0.3750 0.2500 0.8750
0.8750 0.2500 0.8750
0.8750 0.7500 0.3750
0.8750 0.7500 0.8750
0.5000 0.0000 0.5000
0.2500 0.5000 0.2500

***

(2)
Nb10N11O SCAN PBEsol geometry; energy relative to the elements, uncorrected = -1.2442 eV/atom; SG = Pc (7); E_tot = -1.561 Ry/atom
1.0
-5.1083 -0.5025 -0.8461
-0.2528 -7.0962 5.5759
-1.9584 6.3823 8.0337
Nb N O
20 22 2
direct
0.8375 0.8369 0.4995
0.6626 0.6630 0.0018
0.5026 0.8335 0.2474
0.4796 0.8339 0.7422
0.3386 0.6631 0.4984
0.1730 0.5034 0.9972
0.1684 0.8381 0.0027
0.1626 0.1630 0.9982
0.0026 0.3335 0.7526
0.0050 0.6558 0.7434
0.9796 0.3339 0.2578
0.0014 0.6664 0.2484
0.8386 0.1631 0.5016
0.8263 0.5006 0.5004
0.6730 0.0034 0.0028
0.6684 0.3381 0.9973
0.5014 0.1664 0.7516
0.5050 0.1558 0.2566
0.3375 0.3369 0.5005
0.3263 0.0006 0.4996
0.6673 0.6696 0.6269
0.3360 0.0033 0.1264
0.3294 0.6715 0.8727
0.3352 0.6675 0.1265
0.1710 0.8304 0.3716
0.1642 0.8324 0.6255
0.1727 0.1700 0.6273
0.1669 0.4990 0.6254
0.1624 0.5000 0.3720
0.8360 0.5033 0.8736
0.8378 0.4988 0.1266
0.8341 0.8327 0.1245
0.8352 0.1675 0.8735
0.8294 0.1715 0.1273
0.6727 0.6700 0.3727
0.6642 0.3324 0.3745
0.6710 0.3304 0.6284
0.6624 0.0000 0.6280
0.6669 0.9990 0.3746
0.3378 0.9988 0.8734
0.3341 0.3327 0.8755
0.1673 0.1696 0.3731
0.8282 0.8300 0.8722
0.3282 0.3300 0.1278

***

(3)
NbPNO2 SCAN PBEsol geometry; energy relative to the elements, uncorrected = -0.5184 eV/atom; SG = P4/mmm (123); E_tot = -0.998 Ry/atom
1.0
3.8896 0.0000 0.0000
0.0000 3.8896 0.0000
0.0000 0.0000 4.2242
P Nb O N
1 1 2 1
direct
0.5000 0.5000 0.5000
0.0000 0.0000 0.0000
0.0000 0.5000 0.0000
0.5000 0.0000 0.0000
0.0000 0.0000 0.5000

***

(4)
RbNbNO2 SCAN PBEsol geometry; energy relative to the elements, uncorrected = -1.5977 eV/atom; SG = P4/mmm (123); E_tot = -1.229 Ry/atom
1.0
-4.0369 0.4839 0.1363
-0.0438 -1.4370 3.8055
0.5147 3.8794 1.4708
Nb O Rb N
1 2 1 1
direct
0.0000 0.0000 0.0000
0.0000 0.5000 0.0000
0.5000 0.0000 0.0000
0.5000 0.5000 0.5000
0.0000 0.0000 0.5000

***

(5)
NbSbN2O SCAN PBEsol geometry; energy relative to the elements, uncorrected = -0.3456 eV/atom; SG = P4/mmm (123); E_tot = -1.425 Ry/atom
1.0
3.8843 0.0000 0.0000
0.0000 4.1371 0.0000
0.0000 0.0000 4.1371
Sb Nb O N
1 1 1 2
direct
0.5000 0.5000 0.5000
0.0000 0.0000 0.0000
0.5000 0.0000 0.0000
0.0000 0.0000 0.5000
0.0000 0.5000 0.0000

***

(6)
NbSeNO2 SCAN PBEsol geometry; energy relative to the elements, uncorrected = 0.2970 eV/atom; SG = P4/mmm (123); E_tot = -1.080 Ry/atom
1.0
-3.1130 -1.8156 -1.1606
1.9134 -1.3911 -2.9559
1.0643 -3.2399 2.2137
Nb O Se N
1 2 1 1
direct
0.5000 0.5000 0.5000
0.0000 0.5000 0.0000
0.5000 0.0000 0.0000
0.0000 0.0000 0.0000
0.0000 0.0000 0.5000

***

(7)
Sr10Nb5N5O14 SCAN PBEsol geometry; energy relative to the elements, uncorrected = -2.4959 eV/atom; SG = C2/m (12); E_tot = -1.312 Ry/atom
1.0
-6.8414 3.3283 4.6815
-5.1633 -0.5837 -7.2662
4.2641 -7.3076 3.0634
Sr Nb N O
10 5 5 14
direct
0.8574 0.8574 0.0000
0.6508 0.2566 0.2007
0.4555 0.6614 0.4032
0.2583 0.0524 0.5968
0.0559 0.4501 0.7993
0.5445 0.3386 0.5968
0.3492 0.7434 0.7993
0.1426 0.1426 0.0000
0.9441 0.5499 0.2007
0.7417 0.9476 0.4032
0.9014 0.6995 0.6008
0.7001 0.1014 0.8015
0.5000 0.5000 0.0000
0.2999 0.8986 0.1985
0.0986 0.3005 0.3992
0.1049 0.7859 0.8908
0.5000 0.0000 0.5000
0.8951 0.2141 0.1092
0.2934 0.4088 0.7021
0.7066 0.5912 0.2979
0.6637 0.6637 0.0000
0.4535 0.0739 0.2051
0.2494 0.4850 0.4119
0.0731 0.8376 0.5881
0.8688 0.2484 0.7949
0.7506 0.5150 0.5881
0.5465 0.9261 0.7949
0.3363 0.3363 0.0000
0.1312 0.7516 0.2051
0.9269 0.1624 0.4119
0.4092 0.7045 0.1138
0.8080 0.8973 0.7053
0.1920 0.1027 0.2947
0.5908 0.2955 0.8862

***

(8)
SrNbN2O SCAN PBEsol geometry; energy relative to the elements, uncorrected = 1.4201 eV/atom; SG = P4/mmm (123); E_tot = -1.075 Ry/atom
1.0
4.2130 0.0000 0.0000
0.0000 4.2130 0.0000
0.0000 0.0000 4.2540
Sr Nb O N
1 1 1 2
direct
0.0000 0.0000 0.0000
0.5000 0.5000 0.5000
0.0000 0.0000 0.5000
0.0000 0.5000 0.0000
0.5000 0.0000 0.0000

***

(9)
NbTeN2O SCAN PBEsol geometry; energy relative to the elements, uncorrected = -0.1245 eV/atom; SG = P4/mmm (123); E_tot = -1.408 Ry/atom
1.0
3.8634 0.0000 0.0000
0.0000 4.1793 0.0000
0.0000 0.0000 4.1793
Nb Te O N
1 1 1 2
direct
0.0000 0.0000 0.0000
0.5000 0.5000 0.5000
0.5000 0.0000 0.0000
0.0000 0.0000 0.5000
0.0000 0.5000 0.0000

***

(10)
NbTeN2O SCAN PBEsol geometry; energy relative to the elements, uncorrected = 1.5810 eV/atom; SG = P4/mmm (123); E_tot = -1.283 Ry/atom
1.0
-2.6699 -1.6396 -2.4760
2.9110 -0.7865 -2.6182
0.5793 -3.5064 1.6974
Nb Te O N
1 1 1 2
direct
0.5000 0.5000 0.5000
0.0000 0.0000 0.5000
0.0000 0.0000 0.0000
0.0000 0.5000 0.0000
0.5000 0.0000 0.0000

***

(11)
YNbN2O SCAN PBEsol geometry; energy relative to the elements, uncorrected = 0.2225 eV/atom; SG = P4/mmm (123); E_tot = -1.245 Ry/atom
1.0
-1.5048 2.4899 -2.9183
-3.1467 1.0833 2.5467
2.3060 3.1585 1.5058
Y Nb O N
1 1 1 2
direct
0.0000 0.0000 0.0000
0.5000 0.5000 0.5000
0.5000 0.0000 0.0000
0.0000 0.0000 0.5000
0.0000 0.5000 0.0000

***

(12)
NbZnNO2 SCAN PBEsol geometry; energy relative to the elements, uncorrected = -0.1423 eV/atom; SG = P4/mmm (123); E_tot = -1.016 Ry/atom
1.0
3.6733 0.0000 0.0000
0.0000 3.6733 0.0000
0.0000 0.0000 3.8357
Nb Zn O N
1 1 2 1
direct
0.5000 0.5000 0.5000
0.0000 0.0000 0.0000
0.0000 0.5000 0.0000
0.5000 0.0000 0.0000
0.0000 0.0000 0.5000